Record 1
The following is a DFT calculation (PBE-GGA) of a relaxed AgBiSbI2 crystal.

Output
The value obtained for the polymorph energy (0 for the lowest one) is 98 meV per atom. As for the raw formation energy: 0.523 eV per atom. The calculation puts the density of states at the Fermi level at 3.53 states/eV per cell.

Unit cell a=6.1552 b=6.1552 c=6.0350 alpha=90.00 beta=90.00 gamma=90.00
Closest atoms and distances in Å follow each position.
Space group P4/mmm (No. 123)
Asymmetric unit:
Ag  0.0000  0.0000  0.0000 x1  8 I 4.31, 4 Sb 4.35
Bi  0.5000  0.5000  0.5000 x1  2 Sb 3.02, 4 I 3.08
Sb  0.5000  0.5000  0.0000 x1  2 Bi 3.02
I  0.0000  0.5000  0.5000 x2  2 Bi 3.08


Record 2
The following is a DFT calculation (PBE-GGA) of a relaxed AgBiSbI2 crystal.

Output
The value obtained for the polymorph energy (0 for the lowest one) is 0 meV per atom. As for the raw formation energy: 0.424 eV per atom. The calculation puts the density of states at the Fermi level at 4.19 states/eV per cell.

Unit cell a=5.5411 b=5.5411 c=5.5730 alpha=90.00 beta=90.00 gamma=90.00
Closest atoms and distances in Å follow each position.
Space group P4/mmm (No. 123)
Asymmetric unit:
Ag  0.0000  0.0000  0.0000 x1  4 I 2.77, 2 Sb 2.79
Bi  0.5000  0.5000  0.5000 x1  4 Sb 3.92, 8 I 3.93
Sb  0.0000  0.0000  0.5000 x1  2 Ag 2.79
I  0.0000  0.5000  0.0000 x2  2 Ag 2.77


Record 3
The following is a DFT calculation (PBE-GGA) of a relaxed Ag2BiSe2I crystal.

Output
As for the raw formation energy: -0.086 eV per atom. The calculation puts the density of states at the Fermi level at 2.81 states/eV per cell.

Unit cell a=6.9099 b=7.2024 c=7.1416 alpha=90.00 beta=97.15 gamma=90.00
Closest atoms and distances in Å follow each position.
Space group P2_1/m (No. 11)
Asymmetric unit:
Ag  0.0517  0.2500  0.4540 x2  4 Se 2.69-2.88, 1 Ag 2.91
Ag  0.4212  0.2500  0.6997 x2  2 Se 2.81, 1 I 2.84, 1 Ag 2.91, 1 Bi 3.05
Bi  0.1595  0.7500  0.1052 x2  4 Se 2.79-2.98, 1 Ag 3.05
Se  0.1205  0.0112  0.7782 x4  3 Ag 2.69-2.88, 2 Bi 2.79-2.98
I  0.4419  0.2500  0.3052 x2  2 Ag 2.84-3.02